[1]
Computed, not measured: a relaxed structure of MgOs2Br at the PBE level of DFT.

a b c (Å): 5.3064 3.8051 3.8058
angles (deg): 83.04 90.00 90.00
Fractional coordinates of all 4 atoms:
1 Br 0.5000 0.2500 0.2500
2 Mg 0.5000 0.7500 0.7500
3 Os 0.0000 0.9557 0.9557
4 Os 0.0000 0.5443 0.5443

Properties
space-group type: Cmmm
uncorrected energy: -22.89 eV/cell
energy relative to the lowest polymorph listed for this composition: 1.82 eV/f.u.

[2]
Computed, not measured: a relaxed structure of CdSe2 at the PBE level of DFT.

a b c (Å): 4.3092 5.4007 6.7870
angles (deg): 90.00 90.00 90.00
Fractional coordinates of all 6 atoms:
1 Cd 0.0000 0.0000 0.0000
2 Cd 0.5000 0.5000 0.5000
3 Se 0.0000 0.1808 0.6025
4 Se 0.0000 0.8192 0.3975
5 Se 0.5000 0.6808 0.8975
6 Se 0.5000 0.3192 0.1025

Properties
space-group type: Pnnm
uncorrected energy: -17.65 eV/cell

[3]
Computed, not measured: a relaxed structure of Tb3Sc4Tl4 at the PBE level of DFT.

a b c (Å): 4.6083 8.0969 9.2526
angles (deg): 115.95 104.42 90.00
Each line ends with the local moment (μB).
Fractional coordinates of all 11 atoms:
1 Tb 0.1184 0.1184 0.2367  0.09
2 Tb 0.8816 0.8816 0.7633  0.09
3 Tb 0.0000 0.5000 0.0000  0.10
4 Sc 0.3269 0.1275 0.6538  0.22
5 Sc 0.6731 0.4737 0.3462  0.22
6 Sc 0.6731 0.8725 0.3462  0.22
7 Sc 0.3269 0.5263 0.6538  0.22
8 Tl 0.2204 0.7204 0.4408  -0.01
9 Tl 0.7796 0.2796 0.5592  -0.01
10 Tl 0.5000 0.8030 0.0000  0.00
11 Tl 0.5000 0.1970 0.0000  0.00

Properties
space-group type: Immm
uncorrected energy: -50.95 eV/cell
energy relative to the elements: -0.21 eV per atom

[4]
Computed, not measured: a relaxed structure of CdRe3Si at the PBE level of DFT.

a b c (Å): 4.8192 4.8192 4.8192
angles (deg): 90.00 90.00 90.00
Each line ends with the local moment (μB).
Fractional coordinates of all 5 atoms:
1 Re 0.0000 0.5000 0.0000  0.95
2 Re 0.0000 0.0000 0.5000  1.38
3 Re 0.5000 0.0000 0.0000  0.88
4 Si 0.5000 0.5000 0.5000  -0.03
5 Cd 0.0000 0.0000 0.0000  0.01

Properties
space-group type: Pm-3m
uncorrected energy: -27.08 eV/cell
energy relative to the lowest polymorph listed for this composition: 10.47 eV/f.u.